A plane-wave DFT calculation with PBE-GGA was carried out for MnHgBiPb2 after structural relaxation.

Cell and atoms, written as POSCAR:
```
MnHgBiPb2
1.0
-4.819 -3.655 0.086
3.438 -4.522 0.429
-0.207 0.415 6.031
Pb Hg Mn Bi
2 1 1 1
direct
0.000 0.000 0.500
0.500 0.000 0.000
0.000 0.500 0.000
0.500 0.500 0.500
0.000 0.000 0.000
```

Output
For the formation enthalpy at 0 K, the calculation gives 92.4 kJ/mol of atoms. As for the total magnetization: 0.900 μB/atom. As for the space group: P4/mmm. For the calculated total energy, the calculation gives -3.20 eV per atom.

A plane-wave DFT calculation with PBE-GGA was carried out for MnHg2BiPd after structural relaxation.

Cell and atoms, written as POSCAR:
```
MnHg2BiPd
1.0
5.181 0.000 0.000
0.000 4.931 0.000
0.000 0.000 5.181
Pd Mn Hg Bi
1 1 2 1
direct
0.000 0.000 0.000
0.000 0.500 0.000
0.500 0.000 0.000
0.000 0.000 0.500
0.500 0.500 0.500
```

Output
For the formation enthalpy at 0 K, the calculation gives 38.5 kJ/mol of atoms. As for the total magnetization: 0.909 μB/atom. As for the space group: P4/mmm. For the calculated total energy, the calculation gives -3.37 eV per atom.

A plane-wave DFT calculation with PBE-GGA was carried out for MnTl2HgBi after structural relaxation.

Cell and atoms, written as POSCAR:
```
MnTl2HgBi
1.0
-1.937 0.532 -5.694
-5.321 -1.803 1.642
-1.604 5.720 1.081
Bi Tl Hg Mn
1 2 1 1
direct
0.000 0.000 0.000
0.500 0.000 0.000
0.000 0.000 0.500
0.000 0.500 0.000
0.500 0.500 0.500
```

Output
For the formation enthalpy at 0 K, the calculation gives 82.9 kJ/mol of atoms. As for the total magnetization: 0.925 μB/atom. As for the space group: P4/mmm. For the calculated total energy, the calculation gives -2.76 eV per atom.

A plane-wave DFT calculation with PBE-GGA was carried out for Hg3BiMo after structural relaxation.

Cell and atoms, written as POSCAR:
```
Hg3BiMo
1.0
5.359 0.000 0.000
0.000 5.359 0.000
0.000 0.000 5.359
Hg Mo Bi
3 1 1
direct
0.500 0.000 0.000
0.000 0.500 0.000
0.000 0.000 0.500
0.000 0.000 0.000
0.500 0.500 0.500
```

Output
For the formation enthalpy at 0 K, the calculation gives 88.5 kJ/mol of atoms. As for the total magnetization: 0.332 μB/atom. As for the space group: Pm-3m. For the calculated total energy, the calculation gives -2.21 eV per atom. Its energy above the most stable polymorph in this dataset is 0.0 meV/atom.